(1)
# TaTi2As PBE relaxed
# - Mass density: 8.27 Mg/m³
# - Energy of formation: -0.1525 eV/atom
# - Total energy: -8.225 eV/atom
# - Calculated volume: 17.7 A^3/atom
data_TaTi2As
_chemical_formula_sum 'Ta3 Ti6 As3'
_cell_length_a 3.1768
_cell_length_b 3.1768
_cell_length_c 24.2457
_cell_angle_alpha 90.00
_cell_angle_beta 90.00
_cell_angle_gamma 120.00
_space_group_name_H-M_alt 'R 3 m'
_space_group_IT_number 160
_space_group_name_Hall 'R 3 -2"'
loop_
_atom_site_label
_atom_site_fract_x
_atom_site_fract_y
_atom_site_fract_z
Ta1 0.0000 0.0000 0.0000
Ti1 0.0000 0.0000 0.5757
Ti2 0.0000 0.0000 0.7592
As1 0.0000 0.0000 0.1680

(2)
# TaTi2As PBE relaxed
# - Mass density: 8.07 Mg/m³
# - Energy of formation: 0.0851 eV/atom
# - Total energy: -7.988 eV/atom
# - Calculated volume: 18.1 A^3/atom
data_TaTi2As
_chemical_formula_sum 'Ta4 Ti8 As4'
_cell_length_a 7.4870
_cell_length_b 7.4870
_cell_length_c 5.1617
_cell_angle_alpha 90.00
_cell_angle_beta 90.00
_cell_angle_gamma 90.00
_space_group_name_H-M_alt 'I -4 2 d'
_space_group_IT_number 122
_space_group_name_Hall 'I -4 2bw'
loop_
_atom_site_label
_atom_site_fract_x
_atom_site_fract_y
_atom_site_fract_z
Ta1 0.0000 0.0000 0.0000
Ti1 0.2111 0.2500 0.6250
As1 0.0000 0.0000 0.5000

(3)
# TaTi2As PBE relaxed
# - Mass density: 8.27 Mg/m³
# - Energy of formation: -0.2242 eV/atom
# - Total energy: -8.297 eV/atom
# - Calculated volume: 17.6 A^3/atom
data_TaTi2As
_chemical_formula_sum 'Ta3 Ti6 As3'
_cell_length_a 3.2028
_cell_length_b 3.2028
_cell_length_c 23.8347
_cell_angle_alpha 90.00
_cell_angle_beta 90.00
_cell_angle_gamma 120.00
_space_group_name_H-M_alt 'R -3 m'
_space_group_IT_number 166
_space_group_name_Hall '-R 3 2"'
loop_
_atom_site_label
_atom_site_fract_x
_atom_site_fract_y
_atom_site_fract_z
Ta1 0.0000 0.0000 0.0000
Ti1 0.0000 0.0000 0.2410
As1 0.0000 0.0000 0.5000

(4)
# Ta2TlAs PBE relaxed
# - Mass density: 13.82 Mg/m³
# - Energy of formation: 0.2634 eV/atom
# - Total energy: -7.417 eV/atom
# - Calculated volume: 19.3 A^3/atom
data_Ta2TlAs
_chemical_formula_sum 'Ta6 Tl3 As3'
_cell_length_a 3.2082
_cell_length_b 3.2082
_cell_length_c 25.9353
_cell_angle_alpha 90.00
_cell_angle_beta 90.00
_cell_angle_gamma 120.00
_space_group_name_H-M_alt 'R -3 m'
_space_group_IT_number 166
_space_group_name_Hall '-R 3 2"'
loop_
_atom_site_label
_atom_site_fract_x
_atom_site_fract_y
_atom_site_fract_z
Ta1 0.0000 0.0000 0.2396
Tl1 0.0000 0.0000 0.0000
As1 0.0000 0.0000 0.5000

(5)
# TaTlAs PBE relaxed
# - Mass density: 11.58 Mg/m³
# - Energy of formation: 0.3147 eV/atom
# - Total energy: -5.975 eV/atom
# - Calculated volume: 22.0 A^3/atom
data_TaTlAs
_chemical_formula_sum 'Ta1 Tl1 As1'
_cell_length_a 4.4144
_cell_length_b 4.4144
_cell_length_c 3.9100
_cell_angle_alpha 90.00
_cell_angle_beta 90.00
_cell_angle_gamma 120.00
_space_group_name_H-M_alt 'P -6 m 2'
_space_group_IT_number 187
_space_group_name_Hall 'P -6 2'
loop_
_atom_site_label
_atom_site_fract_x
_atom_site_fract_y
_atom_site_fract_z
Ta1 0.0000 0.0000 0.0000
Tl1 0.6667 0.3333 0.5000
As1 0.3333 0.6667 0.0000

(6)
# TaTlAs PBE relaxed
# - Mass density: 11.17 Mg/m³
# - Energy of formation: 0.7661 eV/atom
# - Total energy: -5.523 eV/atom
# - Calculated volume: 22.8 A^3/atom
data_TaTlAs
_chemical_formula_sum 'Ta4 Tl4 As4'
_cell_length_a 6.4922
_cell_length_b 6.4922
_cell_length_c 6.4922
_cell_angle_alpha 90.00
_cell_angle_beta 90.00
_cell_angle_gamma 90.00
_space_group_name_H-M_alt 'F -4 3 m'
_space_group_IT_number 216
_space_group_name_Hall 'F -4 2 3'
loop_
_atom_site_label
_atom_site_fract_x
_atom_site_fract_y
_atom_site_fract_z
Ta1 0.0000 0.0000 0.0000
Tl1 0.0000 0.0000 0.5000
As1 0.2500 0.2500 0.2500